[1]
Computed, not measured: an optimized crystal structure of GdZn at the PBE-GGA level of DFT.

Structure (extended XYZ):
```
10
Lattice="-2.1066 -3.4317 2.9021 6.6528 -7.1404 0.6295 1.9416 2.1583 3.9615" Properties=species:S:1:pos:R:3 pbc="T T T"
Zn 3.5518 -6.0701 4.6107
Zn 3.6493 -5.4255 1.1673
Gd 3.2543 -3.3994 3.3015
Gd 0.1249 -2.9547 1.5486
Gd 1.9028 0.0090 2.1070
Zn 6.1477 -7.8980 4.3343
Gd 3.8874 -8.0497 2.4803
Zn 5.9049 -5.2655 3.0190
Zn 6.2316 -7.2433 0.8920
Gd 0.9879 -6.0194 2.7953
```

Calculated values
* space group: Amm2 (38)
* energy of formation: -220.0 meV/atom
* energy relative to the lowest polymorph listed for this composition: 0.118 eV/atom

[2]
Computed, not measured: an optimized crystal structure of Li2AlGaCu2 at the PBE-GGA level of DFT.

Structure (extended XYZ):
```
6
Lattice="4.3073 0.0000 0.0000 -2.1537 3.7302 0.0000 0.0000 0.0000 5.1673" Properties=species:S:1:pos:R:3 pbc="T T T"
Cu 0.0000 0.0000 2.5836
Li 2.1537 1.2434 3.8605
Ga 0.0000 2.4868 2.5836
Li 2.1537 1.2434 1.3068
Al 0.0000 0.0000 0.0000
Cu 0.0000 2.4868 0.0000
```

Calculated values
* space group: P-6m2 (187)
* electronic total energy: -3.22 eV/atom

[3]
Computed, not measured: an optimized crystal structure of BeGaFeAu at the PBE-GGA level of DFT.

Structure (extended XYZ):
```
4
Lattice="0.0000 3.0012 3.0012 3.0012 0.0000 3.0012 3.0012 3.0012 0.0000" Properties=species:S:1:pos:R:3 pbc="T T T"
Be 1.5006 1.5006 1.5006
Fe 4.5018 4.5018 4.5018
Au 3.0012 3.0012 3.0012
Ga 0.0000 0.0000 0.0000
```

Calculated values
* space group: F-43m (216)
* energy relative to the lowest polymorph listed for this composition: 0.094 eV/atom

[4]
Computed, not measured: an optimized crystal structure of Gd2HoMg3Tl2Hg at the PBE-GGA level of DFT.

Structure (extended XYZ):
```
9
Lattice="4.6190 0.0000 0.0000 0.0000 6.5120 3.7845 0.0000 -6.5120 3.7845" Properties=species:S:1:pos:R:3 pbc="T T T"
Mg 2.3095 0.0000 1.8005
Tl 2.3095 -2.1551 3.7910
Tl 2.3095 2.1551 3.7910
Hg 0.0000 0.0000 7.5451
Ho 0.0000 0.0000 4.3927
Mg 2.3095 4.9581 2.8814
Mg 2.3095 -4.9581 2.8814
Gd 0.0000 2.7372 1.5964
Gd 0.0000 -2.7372 1.5964
```

Calculated values
* space group: Amm2 (38)
* electronic total energy: -3.00 eV/atom

[5]
Computed, not measured: an optimized crystal structure of Hf4Co4Ge7 at the PBE-GGA level of DFT.

Structure (extended XYZ):
```
30
Lattice="-0.8702 -2.5790 4.4387 -9.6185 -0.8006 0.7030 0.7693 -6.7927 -6.8497" Properties=species:S:1:pos:R:3 pbc="T T T"
Ge -4.2355 -1.0871 1.5918
Co -4.7416 -2.0357 -0.5855
Co -1.9087 -4.5869 -1.5123
Co -5.1767 -3.3252 1.6339
Hf -7.5561 -7.3998 -2.7270
Ge -0.2968 -4.6342 0.3031
Co -7.3755 -4.2958 -2.4150
Ge -6.2531 -2.2924 3.5499
Ge -6.1895 -5.5699 1.6581
Hf -2.1632 -2.7723 1.0190
Hf -1.5244 -6.4083 -4.0222
Hf -8.1949 -3.7638 2.3142
Co -4.5426 -6.8470 -3.3419
Ge -4.0278 -4.3723 -0.2762
Ge -6.8412 -3.3016 -0.2057
Ge -2.5822 -2.2157 -1.7936
Co -2.3438 -5.8764 0.7070
Co -7.8106 -5.5853 -0.1956
Co -4.9777 -8.1364 -1.1225
Ge 0.1959 -4.7374 -2.7141
Ge -2.8782 -6.8705 -1.5023
Hf 0.0928 -2.2434 -1.2853
Ge -5.6915 -5.7999 -1.4318
Hf -7.0694 -0.9363 1.1239
Ge -3.5299 -4.6023 -3.3661
Hf -3.4193 -2.4432 4.0178
Ge -6.2669 -5.3775 -4.3530
Hf -0.1936 -7.1282 -1.1257
Ge -0.6532 -1.9359 3.3319
Ge -0.2170 -0.6430 1.1067
```

Calculated values
* space group: I4/mmm (139)
* electronic total energy: -7.26 eV/atom

[6]
Computed, not measured: an optimized crystal structure of BeInIrPb at the PBE-GGA level of DFT.

Structure (extended XYZ):
```
4
Lattice="0.4574 -3.3678 -3.2712 -0.4784 -4.5363 1.2021 -3.7820 -2.4318 -1.4264" Properties=species:S:1:pos:R:3 pbc="T T T"
Be -2.8523 -7.7518 -2.6216
Pb -1.9016 -5.1679 -1.7477
In 0.0000 0.0000 0.0000
Ir -0.9508 -2.5839 -0.8739
```

Calculated values
* space group: F-43m (216)
* energy relative to the lowest polymorph listed for this composition: 0.000 eV/atom

[7]
Computed, not measured: an optimized crystal structure of Ba2ZrGaS6 at the PBE-GGA level of DFT.

Structure (extended XYZ):
```
10
Lattice="4.9493 -4.9494 0.0000 4.9493 4.9494 0.0000 -4.9493 0.0000 4.9493" Properties=species:S:1:pos:R:3 pbc="T T T"
S -2.4747 0.0000 4.8948
S -0.0546 0.0000 2.4747
Ba 4.9494 -2.4747 0.0000
S 5.0039 0.0000 2.4747
S 2.4747 -2.5293 2.4747
Ba 4.9494 2.4747 0.0000
S 7.4240 0.0000 0.0546
S 2.4747 2.5293 2.4747
Ga -2.4747 0.0000 2.4747
Zr 2.4747 0.0000 2.4747
```

Calculated values
* space group: Fm-3m (225)
* electronic total energy: -5.36 eV/atom

[8]
Computed, not measured: an optimized crystal structure of HoB4Mo at the PBE-GGA level of DFT.

Structure (extended XYZ):
```
24
Lattice="-3.3666 1.6140 4.7160 -8.7874 -6.4194 -4.0762 1.2240 -2.8497 1.8491" Properties=species:S:1:pos:R:3 pbc="T T T"
B -6.3440 -2.8993 3.2568
Mo -2.8578 0.4791 2.6301
Ho -1.7447 -0.7563 -0.0107
B -4.5860 -4.7558 -0.7679
Ho -6.9651 -3.5697 -0.8907
B -8.3418 -7.4244 -2.3944
B -4.7365 -3.8368 0.7480
B -7.8198 -4.6811 1.4878
B -8.2370 -5.7546 0.1097
B -2.6930 -1.9006 2.3793
Mo -8.0587 -2.3437 1.7226
B -7.2532 -6.3039 -1.3882
B -3.1102 -2.9740 1.0011
B -5.5654 -5.8396 -1.7899
B -9.8253 -6.5465 -0.0594
B -6.1935 -3.8184 1.7409
B -1.1047 -1.1087 2.5483
B -2.5882 -0.2307 4.8834
Ho -5.1889 -1.2357 1.5305
Mo -9.2962 -5.2845 -1.9903
B -3.6768 -1.3512 3.8771
B -5.3646 -1.8155 4.2788
Ho -10.4094 -4.0491 0.6505
Mo -4.0954 -2.4617 -1.0828
```

Calculated values
* space group: Pbam (55)
* energy relative to the lowest polymorph listed for this composition: 0.000 eV/atom

[9]
Computed, not measured: an optimized crystal structure of KLiFeOs at the PBE-GGA level of DFT.

Structure (extended XYZ):
```
4
Lattice="4.3654 1.3949 0.1237 1.3045 3.1825 3.0311 2.6785 -1.1622 3.5345" Properties=species:S:1:pos:R:3 pbc="T T T"
Fe 2.0871 0.8538 1.6723
K 4.1743 1.7076 3.3446
Li 6.2614 2.5614 5.0169
Os 0.0000 0.0000 0.0000
```

Calculated values
* space group: F-43m (216)
* energy relative to the lowest polymorph listed for this composition: 0.000 eV/atom

[10]
Computed, not measured: an optimized crystal structure of OsF6 at the PBE-GGA level of DFT.

Structure (extended XYZ):
```
28
Lattice="7.9104 0.0000 0.0000 0.0000 8.6649 0.0000 0.0000 0.0000 4.5697" Properties=species:S:1:pos:R:3 pbc="T T T"
Os 5.9328 7.5627 4.1706
F 1.9776 4.3323 3.3817
F 3.2874 2.1607 4.1909
F 3.2874 6.4931 2.6636
F 4.6230 4.2916 3.4643
Os 5.9328 3.2302 2.6839
F 0.6678 4.3733 1.1054
F 0.6678 6.4931 2.6636
F 4.6230 6.5042 0.3788
F 4.6230 8.6241 3.3902
F 1.9776 0.0000 3.4728
F 4.6230 2.1718 1.9061
F 7.2426 4.2916 3.4643
F 5.9328 0.0000 1.0969
F 1.9776 2.2069 1.8953
F 5.9328 2.1256 4.1801
F 7.2426 6.5042 0.3788
F 3.2874 4.3733 1.1054
F 5.9328 6.4580 2.6744
F 5.9328 4.3326 1.1880
Os 1.9776 1.1022 0.3990
F 7.2426 2.1718 1.9061
F 0.6678 2.1607 4.1909
Os 1.9776 5.4347 1.8858
F 1.9776 6.5393 0.3896
F 7.2426 8.6241 3.3902
F 3.2874 0.0408 1.1795
F 0.6678 0.0408 1.1795
```

Calculated values
* space group: Pnma (62)
* electronic total energy: -4.81 eV/atom

[11]
Computed, not measured: an optimized crystal structure of GdHoZn2Sn2 at the PBE-GGA level of DFT.

Structure (extended XYZ):
```
12
Lattice="4.5069 0.0000 0.0000 -2.2534 3.9031 0.0000 0.0000 0.0000 15.8450" Properties=species:S:1:pos:R:3 pbc="T T T"
Sn 2.2534 1.3010 6.1060
Sn 0.0000 2.6020 14.0285
Zn 2.2534 1.3010 13.2934
Gd 0.0000 0.0000 7.9225
Sn 0.0000 2.6020 9.7389
Zn 2.2534 1.3010 10.4741
Gd 0.0000 0.0000 0.0000
Ho 0.0000 0.0000 3.9612
Zn 0.0000 2.6020 2.5516
Sn 2.2534 1.3010 1.8165
Zn 0.0000 2.6020 5.3709
Ho 0.0000 0.0000 11.8837
```

Calculated values
* space group: P6_3/mmc (194)
* energy relative to the lowest polymorph listed for this composition: 0.000 eV/atom

[12]
Computed, not measured: an optimized crystal structure of LiCuSiTe2Se at the PBE-GGA level of DFT.

Structure (extended XYZ):
```
12
Lattice="3.0682 5.8350 -0.9501 -3.4197 -4.9007 -2.9415 -9.0838 5.1098 2.0473" Properties=species:S:1:pos:R:3 pbc="T T T"
Se 0.5455 6.6959 -0.5155
Li -3.5915 -0.1498 -1.7853
Se -9.9808 -0.6518 -1.3288
Te 0.5576 2.2026 -1.5954
Si 0.0000 0.0000 0.0000
Cu -7.4811 3.4845 -0.5615
Cu -1.9542 2.5596 -1.2828
Te -3.5134 4.4927 -0.6779
Li -5.8437 6.1939 -0.0589
Te -5.9218 1.5514 -1.1664
Te -9.9929 3.8415 -0.2489
Si -4.5419 2.5549 1.0236
```

Calculated values
* space group: Cmcm (63)
* electronic total energy: -3.68 eV/atom